Entry 1:
A plane-wave DFT calculation with GGA-PBE was carried out for a relaxed structure of KPbI2N.

As for the uncorrected formation energy: 0.081 eV per atom. The value obtained for the distance to the lowest polymorph of the same formula is 0.0 kJ/mol of atoms.

It has space group P4/mmm (No. 123), with a = 6.155 Å, b = 6.155 Å, c = 5.088 Å, α = 90.00°, β = 90.00° and γ = 90.00°. The inequivalent atoms are K at (0.000, 0.000, 0.000), Pb at (0.500, 0.500, 0.500), I at (0.000, 0.500, 0.500) and N at (0.500, 0.500, 0.000).

***

Entry 2:
A plane-wave DFT calculation with GGA-PBE was carried out for a relaxed structure of Ce6CdRh2.

The energy of formation from the pure elements comes out at -8.7 kcal/mol of atoms.

It has space group C2/m (No. 12), with a = 10.563 Å, b = 4.695 Å, c = 8.836 Å, α = 90.00°, β = 93.38° and γ = 90.00°. The inequivalent atoms are Ce at (0.064, 0.000, 0.364), Ce at (0.099, 0.500, 0.683), Ce at (0.207, 0.500, 0.091), Cd at (0.000, 0.000, 0.000) and Rh at (0.239, 0.500, 0.384).

***

| no. | magnetization (μB per formula unit) |
| --- | --- |
| 1 | 2.0 |
| 2 | 1.7 |